! La2InPdPt (PBE-GGA, optimized geometry); values from VASP
! E_tot: -25.2 eV/f.u.
&SYSTEM
  ibrav = 0, nat = 5, ntyp = 4
/
ATOMIC_SPECIES
La 138.91 La.upf
In 114.82 In.upf
Pd 106.42 Pd.upf
Pt 195.08 Pt.upf
ATOMIC_POSITIONS crystal
La 0.000 0.500 0.000
La 0.500 0.000 0.000
In 0.000 0.000 0.500
Pd 0.000 0.000 0.000
Pt 0.500 0.500 0.500
CELL_PARAMETERS angstrom
5.523 0.000 0.000
0.000 5.523 0.000
0.000 0.000 4.961

! La2InPdS5 (PBE-GGA, optimized geometry); values from VASP
! formation energy (no corrections): -1.340 eV per atom
&SYSTEM
  ibrav = 0, nat = 18, ntyp = 4
/
ATOMIC_SPECIES
La 138.91 La.upf
In 114.82 In.upf
Pd 106.42 Pd.upf
S 32.06 S.upf
ATOMIC_POSITIONS crystal
La 0.111 0.889 0.500
La 0.127 0.873 0.116
La 0.873 0.127 0.616
La 0.889 0.111 0.000
In 0.193 0.807 0.814
In 0.807 0.193 0.314
Pd 0.491 0.509 0.807
Pd 0.509 0.491 0.307
S 0.050 0.950 0.879
S 0.288 0.712 0.473
S 0.304 0.696 0.158
S 0.348 0.652 0.811
S 0.500 0.500 0.098
S 0.500 0.500 0.598
S 0.652 0.348 0.311
S 0.696 0.304 0.658
S 0.712 0.288 0.973
S 0.950 0.050 0.379
CELL_PARAMETERS angstrom
1.968 -8.564 0.000
1.968 8.564 0.000
0.000 0.000 11.752

! LaInSnPd2 (PBE-GGA, optimized geometry); values from VASP
! E_tot: -21.3 eV/f.u.
&SYSTEM
  ibrav = 0, nat = 5, ntyp = 4
/
ATOMIC_SPECIES
La 138.91 La.upf
In 114.82 In.upf
Sn 118.71 Sn.upf
Pd 106.42 Pd.upf
ATOMIC_POSITIONS crystal
La 0.000 0.000 0.000
In 0.500 0.500 0.000
Sn 0.000 0.000 0.500
Pd 0.000 0.500 0.500
Pd 0.500 0.000 0.500
CELL_PARAMETERS angstrom
5.045 0.000 0.000
0.000 5.045 0.000
0.000 0.000 5.914

! La2InSn3Pd4 (PBE-GGA, optimized geometry); values from VASP
! E_tot: -53.4 eV/f.u.
&SYSTEM
  ibrav = 0, nat = 10, ntyp = 4
/
ATOMIC_SPECIES
La 138.91 La.upf
In 114.82 In.upf
Sn 118.71 Sn.upf
Pd 106.42 Pd.upf
ATOMIC_POSITIONS crystal
La 0.000 0.500 0.243
La 0.500 0.000 0.757
In 0.000 0.000 0.500
Sn 0.000 0.500 0.874
Sn 0.500 0.000 0.126
Sn 0.500 0.500 0.500
Pd 0.000 0.000 0.000
Pd 0.000 0.500 0.634
Pd 0.500 0.000 0.366
Pd 0.500 0.500 0.000
CELL_PARAMETERS angstrom
4.608 0.000 0.000
0.000 4.608 0.000
0.000 0.000 10.875

! La3InSn2Pd9 (PBE-GGA, optimized geometry); values from VASP
! E_tot: -79.7 eV/f.u.
&SYSTEM
  ibrav = 0, nat = 15, ntyp = 4
/
ATOMIC_SPECIES
La 138.91 La.upf
In 114.82 In.upf
Sn 118.71 Sn.upf
Pd 106.42 Pd.upf
ATOMIC_POSITIONS crystal
La 0.000 0.000 0.000
La 0.333 0.667 0.754
La 0.667 0.333 0.246
In 0.000 0.000 0.500
Sn 0.333 0.667 0.192
Sn 0.667 0.333 0.808
Pd 0.000 0.500 0.000
Pd 0.131 0.262 0.268
Pd 0.131 0.869 0.268
Pd 0.262 0.131 0.732
Pd 0.500 0.000 0.000
Pd 0.500 0.500 0.000
Pd 0.738 0.869 0.268
Pd 0.869 0.131 0.732
Pd 0.869 0.738 0.732
CELL_PARAMETERS angstrom
6.846 0.000 0.000
-3.423 5.928 0.000
0.000 0.000 9.472

! La2InSn4Pd3 (PBE-GGA, optimized geometry); values from VASP
! E_tot: -51.4 eV/f.u.
&SYSTEM
  ibrav = 0, nat = 10, ntyp = 4
/
ATOMIC_SPECIES
La 138.91 La.upf
In 114.82 In.upf
Sn 118.71 Sn.upf
Pd 106.42 Pd.upf
ATOMIC_POSITIONS crystal
La 0.000 0.500 0.242
La 0.500 0.000 0.758
In 0.000 0.000 0.500
Sn 0.000 0.000 0.000
Sn 0.000 0.500 0.647
Sn 0.500 0.000 0.353
Sn 0.500 0.500 0.000
Pd 0.000 0.500 0.873
Pd 0.500 0.000 0.127
Pd 0.500 0.500 0.500
CELL_PARAMETERS angstrom
4.560 0.000 0.000
0.000 4.560 0.000
0.000 0.000 11.545

! LaInSnPd3 (PBE-GGA, optimized geometry); values from VASP
! E_tot: -30.5 eV/f.u.
&SYSTEM
  ibrav = 0, nat = 12, ntyp = 4
/
ATOMIC_SPECIES
La 138.91 La.upf
In 114.82 In.upf
Sn 118.71 Sn.upf
Pd 106.42 Pd.upf
ATOMIC_POSITIONS crystal
La 0.180 0.820 0.750
La 0.820 0.180 0.250
In 0.434 0.566 0.750
In 0.566 0.434 0.250
Sn 0.136 0.864 0.250
Sn 0.864 0.136 0.750
Pd 0.209 0.209 0.000
Pd 0.209 0.209 0.500
Pd 0.346 0.654 0.250
Pd 0.654 0.346 0.750
Pd 0.791 0.791 0.000
Pd 0.791 0.791 0.500
CELL_PARAMETERS angstrom
3.368 -6.335 0.000
3.368 6.335 0.000
0.000 0.000 6.398

! La2InSnPd6 (PBE-GGA, optimized geometry); values from VASP
! E_tot: -54.0 eV/f.u.
&SYSTEM
  ibrav = 0, nat = 10, ntyp = 4
/
ATOMIC_SPECIES
La 138.91 La.upf
In 114.82 In.upf
Sn 118.71 Sn.upf
Pd 106.42 Pd.upf
ATOMIC_POSITIONS crystal
La 0.166 0.321 0.268
La 0.834 0.679 0.732
In 0.000 0.000 0.000
Sn 0.500 0.500 0.500
Pd 0.282 0.692 0.797
Pd 0.402 0.099 0.657
Pd 0.450 0.768 0.090
Pd 0.550 0.232 0.910
Pd 0.598 0.901 0.343
Pd 0.718 0.308 0.203
CELL_PARAMETERS angstrom
5.782 0.000 0.000
2.228 6.472 0.000
2.429 2.570 6.090

! La3In2SnPd9 (PBE-GGA, optimized geometry); values from VASP
! E_tot: -77.5 eV/f.u.
&SYSTEM
  ibrav = 0, nat = 15, ntyp = 4
/
ATOMIC_SPECIES
La 138.91 La.upf
In 114.82 In.upf
Sn 118.71 Sn.upf
Pd 106.42 Pd.upf
ATOMIC_POSITIONS crystal
La 0.000 0.000 0.000
La 0.333 0.667 0.753
La 0.667 0.333 0.247
In 0.333 0.667 0.198
In 0.667 0.333 0.802
Sn 0.000 0.000 0.500
Pd 0.000 0.500 0.000
Pd 0.131 0.261 0.266
Pd 0.131 0.869 0.266
Pd 0.261 0.131 0.734
Pd 0.500 0.000 0.000
Pd 0.500 0.500 0.000
Pd 0.739 0.869 0.266
Pd 0.869 0.131 0.734
Pd 0.869 0.739 0.734
CELL_PARAMETERS angstrom
6.976 0.000 0.000
-3.488 6.041 0.000
0.000 0.000 9.045

! LaTlInPd2 (PBE-GGA, optimized geometry); values from VASP
! E_tot: -18.3 eV/f.u.
&SYSTEM
  ibrav = 0, nat = 5, ntyp = 4
/
ATOMIC_SPECIES
La 138.91 La.upf
Tl 204.38 Tl.upf
In 114.82 In.upf
Pd 106.42 Pd.upf
ATOMIC_POSITIONS crystal
La 0.000 0.000 0.000
Tl 0.000 0.000 0.500
In 0.500 0.500 0.000
Pd 0.000 0.500 0.500
Pd 0.500 0.000 0.500
CELL_PARAMETERS angstrom
5.135 0.000 0.000
0.000 5.135 0.000
0.000 0.000 5.870

! La3Tl2In3Pd (PBE-GGA, optimized geometry); values from VASP
! E_tot: -38.0 eV/f.u.
&SYSTEM
  ibrav = 0, nat = 9, ntyp = 4
/
ATOMIC_SPECIES
La 138.91 La.upf
Tl 204.38 Tl.upf
In 114.82 In.upf
Pd 106.42 Pd.upf
ATOMIC_POSITIONS crystal
La 0.000 0.604 0.000
La 0.396 0.396 0.000
La 0.604 0.000 0.000
Tl 0.333 0.667 0.500
Tl 0.667 0.333 0.500
In 0.000 0.232 0.500
In 0.232 0.000 0.500
In 0.768 0.768 0.500
Pd 0.000 0.000 0.000
CELL_PARAMETERS angstrom
7.819 0.000 0.000
-3.910 6.772 0.000
0.000 0.000 4.689

! LaTmInPd (PBE-GGA, optimized geometry); values from VASP
! E_tot: -19.6 eV/f.u.
&SYSTEM
  ibrav = 0, nat = 4, ntyp = 4
/
ATOMIC_SPECIES
La 138.91 La.upf
Tm 168.93 Tm.upf
In 114.82 In.upf
Pd 106.42 Pd.upf
ATOMIC_POSITIONS crystal
La 0.000 0.000 0.000
Tm 0.500 0.500 0.500
In 0.250 0.250 0.250
Pd 0.750 0.750 0.750
CELL_PARAMETERS angstrom
0.000 3.725 3.725
3.725 0.000 3.725
3.725 3.725 0.000

Number 1: M_tot 0.00 μB/f.u.. Number 2: M_tot 0.00 μB/f.u.. Number 3: M_tot 0.00 μB/f.u.. Number 4: M_tot 0.00 μB/f.u.. Number 5: M_tot 0.00 μB/f.u.. Number 6: M_tot 0.00 μB/f.u.. Number 7: M_tot 0.00 μB/f.u.. Number 8: M_tot 0.00 μB/f.u.. Number 9: M_tot 0.00 μB/f.u.. Number 10: M_tot 0.00 μB/f.u.. Number 11: M_tot 0.00 μB/f.u.. Number 12: M_tot 0.00 μB/f.u..